# Tl6In12Hg | Alexandria via LeMat-Bulk | PBE | optimized geometry
data_Tl6In12Hg
_cell_length_a 12.9682
_cell_length_b 12.9682
_cell_length_c 11.3853
_cell_angle_alpha 90.00
_cell_angle_beta 90.00
_cell_angle_gamma 120.00
_symmetry_space_group_name_H-M 'R -3'
_symmetry_Int_Tables_number 148
_symmetry_space_group_name_Hall '-R 3'
loop_
_atom_site_label
_atom_site_type_symbol
_atom_site_fract_x
_atom_site_fract_y
_atom_site_fract_z
_atom_site_occupancy
Tl1 Tl 0.0827 0.9105 0.2528 1
In1 In 0.0025 0.7449 0.5021 1
In2 In 0.0617 0.5347 0.6215 1
Hg1 Hg 0.0000 0.0000 0.5000 1
# **DOS(E_F)**: 10.11 states/eV/f.u.
# **Final energy**: -139.70 eV per cell
# **E_form**: 42 meV per atom